Computed, not measured: an optimized crystal structure of K2PaMo3O12 at the PBE with a Hubbard U level of DFT.

Values from the calculation:
N(E_F): 11.5 states/eV/cell
DFT total energy: -7.176 eV per atom

a = 7.4559 Å, b = 7.4559 Å, c = 19.0668 Å
α = 90.00°, β = 90.00°, γ = 120.00°
Closest atoms and distances in Å follow each position.
Space group R-3m (No. 166, hexagonal axes)
Unique sites:
K 0.0000 0.0000 0.1656 (multiplicity 6)  3 O 2.82
Pa 0.0000 0.0000 0.5000 (multiplicity 3)  6 O 2.18
Mo 0.0000 0.5000 0.0000 (multiplicity 9)  6 O 1.94-1.96
O 0.0567 0.5284 0.1012 (multiplicity 18)  1 Mo 1.96, 1 Pa 2.18
O 0.0914 0.5457 0.3467 (multiplicity 18)  2 Mo 1.94